TcNi2IF, relaxed, DFT GGA+U; calculated total energy = -2.310 eV/atom; M_tot = 1.00 μB/atom; V = 113 Å³ per cell; SG = P4/mmm
1.0
4.576 0.000 0.000
0.000 5.403 0.000
0.000 0.000 4.576
I Ni Tc F
1 2 1 1
direct
0.000 0.000 0.000
0.000 0.000 0.500
0.500 0.000 0.000
0.000 0.500 0.000
0.500 0.500 0.500